[1]
A plane-wave DFT calculation with GGA-PBE was carried out for Ac2PaAg after structural relaxation.

Results
total moment = 0.00 μB per cell
E_form = 0.14 eV per atom

Cell: 3.704 3.704 9.329 Å, 90.00 90.00 90.00°
Sites, in units of the cell vectors:
Ac: 0.000 0.000 0.233
Ac: 0.000 0.000 0.767
Pa: 0.500 0.500 0.500
Ag: 0.500 0.500 0.000

---

[2]
A plane-wave DFT calculation with GGA-PBE was carried out for AcPaAg4 after structural relaxation.

Results
total moment = 1.49 μB per cell
E_form = 0.14 eV per atom

Cell: 5.813 5.813 5.813 Å, 60.00 60.00 60.00°
Sites, in units of the cell vectors:
Ac: 0.000 0.000 0.000
Pa: 0.250 0.250 0.250
Ag: 0.127 0.624 0.624
Ag: 0.624 0.127 0.624
Ag: 0.624 0.624 0.127
Ag: 0.624 0.624 0.624

---

[3]
A plane-wave DFT calculation with GGA-PBE was carried out for Ac2PaAg after structural relaxation.

Results
total moment = 0.00 μB per cell
E_form = 0.51 eV per atom

Cell: 3.513 3.513 36.400 Å, 90.00 90.00 120.00°
Sites, in units of the cell vectors:
Ac: 0.000 0.000 0.094
Ac: 0.000 0.000 0.906
Ac: 0.333 0.667 0.573
Ac: 0.333 0.667 0.760
Ac: 0.667 0.333 0.240
Ac: 0.667 0.333 0.427
Pa: 0.000 0.000 0.000
Pa: 0.333 0.667 0.667
Pa: 0.667 0.333 0.333
Ag: 0.000 0.000 0.500
Ag: 0.333 0.667 0.167
Ag: 0.667 0.333 0.833

---

> total moment of number 3 (Ac2PaAg)?

0.00 μB per cell

---

What did the first record say?
A plane-wave DFT calculation with GGA-PBE was carried out for Ac2PaAg after structural relaxation.

Results
total moment = 0.00 μB per cell
E_form = 0.14 eV per atom

Cell: 3.704 3.704 9.329 Å, 90.00 90.00 90.00°
Sites, in units of the cell vectors:
Ac: 0.000 0.000 0.233
Ac: 0.000 0.000 0.767
Pa: 0.500 0.500 0.500
Ag: 0.500 0.500 0.000